Record 1
Computed, not measured: an optimized crystal structure of SmTm2Th at the PBE-GGA level of DFT.

## Properties
uncorrected energy = -5.25 eV per atom
offset from the most stable computed form = 0.0032 eV per atom
calculated volume = 126.3 Å³ per cell
M_tot = 0.00 μB/f.u.
formation energy from the elements = 0.4 kcal/mol of atoms

Cell lengths 3.5613, 3.5613, 9.9559 Å; angles 90.00, 90.00, 90.00 degrees
Closest atoms and distances in Å follow each position.
Fractional coordinates of all 4 atoms:
Sm 0.0000 0.0000 0.0000  4 Sm 3.56, 8 Tm 3.59
Tm 0.5000 0.5000 0.2568  4 Th 3.49, 4 Tm 3.56, 4 Sm 3.59
Tm 0.5000 0.5000 0.7432  4 Th 3.49, 4 Tm 3.56, 4 Sm 3.59
Th 0.0000 0.0000 0.5000  8 Tm 3.49, 4 Th 3.56


Record 2
Computed, not measured: an optimized crystal structure of Pr2DyGa3 at the PBE-GGA level of DFT.

## Properties
uncorrected energy = -4.42 eV per atom
offset from the most stable computed form = 0.0000 eV per atom
calculated volume = 298.2 Å³ per cell
M_tot = 0.00 μB/f.u.
formation energy from the elements = -12.7 kcal/mol of atoms

Cell lengths 5.1914, 5.1914, 12.7777 Å; angles 90.00, 90.00, 120.00 degrees
Closest atoms and distances in Å follow each position.
Fractional coordinates of all 12 atoms:
Pr 0.0000 0.0000 0.0000  8 Ga 3.19-3.24
Pr 0.0000 0.0000 0.5000  8 Ga 3.14-3.17
Pr 0.3333 0.6667 0.1714  8 Ga 3.16-3.29
Pr 0.6667 0.3333 0.8286  8 Ga 3.16-3.29
Dy 0.3333 0.6667 0.6662  8 Ga 3.16-3.19
Dy 0.6667 0.3333 0.3338  8 Ga 3.16-3.19
Ga 0.0000 0.0000 0.2539  5 Pr 3.14-3.24, 3 Dy 3.17
Ga 0.0000 0.0000 0.7461  5 Pr 3.14-3.24, 3 Dy 3.17
Ga 0.3333 0.6667 0.4188  4 Pr 3.16-3.17, 4 Dy 3.16-3.19
Ga 0.3333 0.6667 0.9142  1 Dy 3.17, 7 Pr 3.19-3.29
Ga 0.6667 0.3333 0.0858  1 Dy 3.17, 7 Pr 3.19-3.29
Ga 0.6667 0.3333 0.5812  4 Pr 3.16-3.17, 4 Dy 3.16-3.19


Record 3
Computed, not measured: an optimized crystal structure of MgBe at the PBE-GGA level of DFT.

## Properties
uncorrected energy = -2.28 eV per atom
offset from the most stable computed form = 0.1662 eV per atom
calculated volume = 140.3 Å³ per cell
M_tot = 0.00 μB/f.u.
formation energy from the elements = 8.7 kcal/mol of atoms

Cell lengths 6.3427, 6.3427, 6.3427 Å; angles 95.26, 95.26, 144.75 degrees
Closest atoms and distances in Å follow each position.
Fractional coordinates of all 8 atoms:
Mg 0.0000 0.2710 0.2710  6 Be 2.48-2.68
Mg 0.0000 0.7290 0.7290  6 Be 2.48-2.68
Mg 0.2710 0.0000 0.2710  6 Be 2.48-2.68
Mg 0.7290 0.0000 0.7290  6 Be 2.48-2.68
Be 0.2895 0.2895 0.5789  2 Be 2.14
Be 0.2895 0.7105 0.0000  2 Be 2.14
Be 0.7105 0.2895 0.0000  2 Be 2.14
Be 0.7105 0.7105 0.4211  2 Be 2.14


Record 4
Computed, not measured: an optimized crystal structure of NiPdSe2Br at the PBE-GGA level of DFT.

## Properties
uncorrected energy = -3.46 eV per atom
offset from the most stable computed form = 0.0000 eV per atom
calculated volume = 107.1 Å³ per cell
M_tot = 0.00 μB/f.u.

Cell lengths 4.6821, 4.6821, 4.8877 Å; angles 90.00, 90.00, 90.00 degrees
Closest atoms and distances in Å follow each position.
Fractional coordinates of all 5 atoms:
Ni 0.0000 0.0000 0.0000  4 Se 2.34, 2 Br 2.44
Pd 0.5000 0.5000 0.5000  4 Br 3.31, 8 Se 3.38
Se 0.0000 0.5000 0.0000  2 Ni 2.34
Se 0.5000 0.0000 0.0000  2 Ni 2.34
Br 0.0000 0.0000 0.5000  2 Ni 2.44


Record 5
Computed, not measured: an optimized crystal structure of Ta2GeP at the PBE-GGA level of DFT.

## Properties
uncorrected energy = -8.38 eV per atom
offset from the most stable computed form = 0.2534 eV per atom
calculated volume = 79.8 Å³ per cell
M_tot = 0.00 μB/f.u.
formation energy from the elements = 1.2 kcal/mol of atoms

Cell lengths 8.1470, 8.1470, 8.1470 Å; angles 24.19, 24.19, 24.19 degrees
Closest atoms and distances in Å follow each position.
Fractional coordinates of all 4 atoms:
Ta 0.1078 0.1078 0.1078  3 P 2.42, 1 Ge 2.56
Ta 0.8922 0.8922 0.8922  3 P 2.42, 1 Ge 2.56
Ge 0.0000 0.0000 0.0000  2 Ta 2.56
P 0.5000 0.5000 0.5000  6 Ta 2.42


Record 6
Computed, not measured: an optimized crystal structure of ZrReW2 at the PBE-GGA level of DFT.

## Properties
uncorrected energy = -11.39 eV per atom
offset from the most stable computed form = 0.3895 eV per atom
calculated volume = 69.7 Å³ per cell
M_tot = 0.00 μB/f.u.
formation energy from the elements = 7.7 kcal/mol of atoms

Cell lengths 9.0300, 9.0300, 9.0300 Å; angles 19.21, 19.21, 19.21 degrees
Closest atoms and distances in Å follow each position.
Fractional coordinates of all 4 atoms:
Zr 0.0000 0.0000 0.0000  3 Re 2.92, 3 W 2.94, 6 Zr 3.01
Re 0.2450 0.2450 0.2450  3 W 2.69, 3 Zr 2.92, 6 Re 3.01
W 0.5009 0.5009 0.5009  3 Re 2.69, 9 W 2.71-3.01
W 0.7559 0.7559 0.7559  9 W 2.71-3.01, 3 Zr 2.94


Record 7
Computed, not measured: an optimized crystal structure of Ac2TbSm6 at the PBE-GGA level of DFT.

## Properties
uncorrected energy = -4.48 eV per atom
calculated volume = 645.8 Å³ per cell
M_tot = 0.00 μB/f.u.
formation energy from the elements = 2.2 kcal/mol of atoms

Cell lengths 9.2978, 9.2978, 9.2534 Å; angles 113.11, 113.11, 65.99 degrees
Closest atoms and distances in Å follow each position.
Fractional coordinates of all 18 atoms:
Ac 0.0196 0.1694 0.1823  6 Sm 3.43-3.80, 2 Ac 3.61-3.70
Ac 0.1694 0.0196 0.6823  6 Sm 3.43-3.80, 2 Ac 3.61-3.70
Ac 0.8306 0.9804 0.3177  6 Sm 3.43-3.80, 2 Ac 3.61-3.70
Ac 0.9804 0.8306 0.8177  6 Sm 3.43-3.80, 2 Ac 3.61-3.70
Tb 0.2610 0.7390 0.2500  8 Sm 3.59-3.76, 2 Ac 3.87
Tb 0.7390 0.2610 0.7500  8 Sm 3.59-3.76, 2 Ac 3.87
Sm 0.0937 0.5769 0.4203  1 Tb 3.59, 9 Sm 3.60-4.00, 3 Ac 3.75-3.80
Sm 0.1721 0.3537 0.0193  3 Sm 3.25-3.54, 2 Ac 3.43-3.59, 1 Tb 3.62
Sm 0.3354 0.5006 0.8375  4 Sm 3.31-3.61, 1 Ac 3.47
Sm 0.3537 0.1721 0.5193  3 Sm 3.25-3.54, 2 Ac 3.43-3.59, 1 Tb 3.62
Sm 0.4231 0.9063 0.0797  1 Tb 3.59, 9 Sm 3.60-4.00, 3 Ac 3.75-3.80
Sm 0.4994 0.6646 0.6625  4 Sm 3.31-3.61, 1 Ac 3.47
Sm 0.5006 0.3354 0.3375  4 Sm 3.31-3.61, 1 Ac 3.47
Sm 0.5769 0.0937 0.9203  1 Tb 3.59, 9 Sm 3.60-4.00, 3 Ac 3.75-3.80
Sm 0.6463 0.8279 0.4807  3 Sm 3.25-3.54, 2 Ac 3.43-3.59, 1 Tb 3.62
Sm 0.6646 0.4994 0.1625  4 Sm 3.31-3.61, 1 Ac 3.47
Sm 0.8279 0.6463 0.9807  3 Sm 3.25-3.54, 2 Ac 3.43-3.59, 1 Tb 3.62
Sm 0.9063 0.4231 0.5797  1 Tb 3.59, 9 Sm 3.60-4.00, 3 Ac 3.75-3.80


Record 8
Computed, not measured: an optimized crystal structure of AlTlO2 at the PBE-GGA level of DFT.

## Properties
uncorrected energy = -5.89 eV per atom
offset from the most stable computed form = 0.2487 eV per atom
calculated volume = 50.8 Å³ per cell
M_tot = 0.00 μB/f.u.

Cell lengths 6.6990, 6.6990, 6.6990 Å; angles 25.99, 25.99, 25.99 degrees
Closest atoms and distances in Å follow each position.
Fractional coordinates of all 4 atoms:
Al 0.0000 0.0000 0.0000  6 O 1.99
Tl 0.5000 0.5000 0.5000  6 O 2.86, 6 Tl 3.01
O 0.2839 0.2839 0.2839  3 Al 1.99
O 0.7161 0.7161 0.7161  3 Al 1.99